Entry 1:
The following is a DFT calculation (PBE-GGA) of a geometry-optimized ScGaHg structure.

Results
ΔE to the lowest computed polymorph in eV per formula unit: 0.21
Space-group type: No. 12
Theoretical density in Mg/m³: 8.61
M_tot in μB/f.u.: 0.00
V in Å³ per atom: 20.27

Unit cell a=4.327 b=6.116 c=5.234 alpha=103.98 beta=114.40 gamma=89.97
Atoms (fractional coordinates):
Sc 0.414 0.891 0.790
Sc 0.716 0.512 0.394
Hg 0.396 0.389 0.755
Hg 0.734 0.015 0.429
Ga 0.065 0.702 0.092
Ga 0.065 0.202 0.092

Entry 2:
The following is a DFT calculation (PBE-GGA) of a geometry-optimized Sc6GaHg5 structure.

Results
Space-group type: No. 65
Theoretical density in Mg/m³: 8.67
M_tot in μB/f.u.: 0.00
V in Å³ per atom: 21.43
E_tot in eV/atom: -3.995

Unit cell a=4.944 b=7.009 c=7.824 alpha=90.00 beta=71.58 gamma=90.00
Atoms (fractional coordinates):
Sc 0.836 0.753 0.327
Sc 0.836 0.247 0.327
Sc 0.500 0.242 0.000
Sc 0.500 0.758 0.000
Sc 0.164 0.753 0.673
Sc 0.164 0.247 0.673
Hg 0.667 0.500 0.667
Hg 0.331 0.000 0.338
Hg 0.000 0.500 0.000
Hg 0.669 0.000 0.662
Hg 0.333 0.500 0.333
Ga 0.000 0.000 0.000

Entry 3:
The following is a DFT calculation (PBE-GGA) of a geometry-optimized ScGa2Hg structure.

Results
Space-group type: No. 123
Theoretical density in Mg/m³: 8.39
M_tot in μB/f.u.: 0.00
V in Å³ per atom: 19.04
E_tot in eV/atom: -3.547

Unit cell a=4.157 b=4.280 c=4.280 alpha=90.00 beta=90.00 gamma=90.00
Atoms (fractional coordinates):
Sc 0.500 0.000 0.000
Hg 0.500 0.500 0.500
Ga 0.000 0.000 0.500
Ga 0.000 0.500 0.000

Entry 4:
The following is a DFT calculation (PBE-GGA) of a geometry-optimized Sc2Ga2Hg structure.

Results
Space-group type: No. 139
Theoretical density in Mg/m³: 6.27
M_tot in μB/f.u.: 0.97
V in Å³ per atom: 22.77
E_tot in eV/atom: -3.843

Unit cell a=4.444 b=4.444 c=6.564 alpha=70.21 beta=70.21 gamma=90.00
Last column: magnetic moment on the atom in μB.
Atoms (fractional coordinates):
Sc 0.750 0.250 0.500  0.32
Sc 0.250 0.750 0.500  0.32
Hg 0.000 0.000 0.000  0.00
Ga 0.399 0.399 0.203  0.01
Ga 0.601 0.601 0.797  0.01

Entry 5:
The following is a DFT calculation (PBE-GGA) of a geometry-optimized ScGa3Hg structure.

Results
ΔE to the lowest computed polymorph in eV per formula unit: 0.12
Space-group type: No. 221
Theoretical density in Mg/m³: 5.67
M_tot in μB/f.u.: 0.00
V in Å³ per atom: 26.63

Unit cell a=5.106 b=5.106 c=5.106 alpha=90.00 beta=90.00 gamma=90.00
Atoms (fractional coordinates):
Sc 0.500 0.500 0.500
Hg 0.000 0.000 0.000
Ga 0.000 0.500 0.000
Ga 0.000 0.000 0.500
Ga 0.500 0.000 0.000

Entry 6:
The following is a DFT calculation (PBE-GGA) of a geometry-optimized ScGaHg structure.

Results
ΔE to the lowest computed polymorph in eV per formula unit: 0.23
Space-group type: No. 1
Theoretical density in Mg/m³: 8.56
M_tot in μB/f.u.: 0.00
V in Å³ per atom: 20.38

Unit cell a=4.421 b=5.335 c=6.026 alpha=107.41 beta=89.96 gamma=65.63
Atoms (fractional coordinates):
Sc 0.928 0.570 0.244
Sc 0.218 0.988 0.656
Hg 0.588 0.249 0.420
Hg 0.890 0.645 0.765
Ga 0.551 0.324 0.936
Ga 0.247 0.934 0.140

Entry 7:
The following is a DFT calculation (PBE-GGA) of a geometry-optimized ScGaHg structure.

Results
ΔE to the lowest computed polymorph in eV per formula unit: 1.12
Space-group type: No. 216
Theoretical density in Mg/m³: 7.30
M_tot in μB/f.u.: 0.00
V in Å³ per atom: 23.89

Unit cell a=4.662 b=4.662 c=4.662 alpha=60.00 beta=60.00 gamma=60.00
Atoms (fractional coordinates):
Sc 0.500 0.500 0.500
Hg 0.750 0.750 0.750
Ga 0.250 0.250 0.250

Entry 8:
The following is a DFT calculation (PBE-GGA) of a geometry-optimized ScGa2Hg structure.

Results
Space-group type: No. 166
Theoretical density in Mg/m³: 5.40
M_tot in μB/f.u.: 0.00
V in Å³ per atom: 29.60
E_tot in eV/atom: -3.056

Unit cell a=4.684 b=4.684 c=6.792 alpha=69.83 beta=69.83 gamma=60.00
Atoms (fractional coordinates):
Sc 0.500 0.500 0.500
Hg 0.000 0.000 0.000
Ga 0.141 0.141 0.577
Ga 0.859 0.859 0.423